YP3Rh6, optimized geometry, DFT PBE-GGA; symmetry = P1; energy = -7.46 eV per atom; size of the total moment = 0.00 μB per formula unit; E_form = -75 kJ/mol of atoms; D(E_F) = 0.417 states/eV per atom
1.0
5.609 0.000 0.000
-2.762 5.011 0.000
-0.218 -1.618 5.502
Y P Rh
1 3 6
Direct
0.000 0.000 0.000
0.094 0.177 0.515
0.373 0.723 0.134
0.688 0.388 0.138
0.085 0.545 0.400
0.465 0.961 0.846
0.480 0.464 0.836
0.484 0.137 0.400
0.688 0.748 0.435
0.974 0.439 0.844

***

CsBiSe2, optimized geometry, DFT PBE-GGA; symmetry = P3m1; energy = -3.62 eV per atom; size of the total moment = 0.00 μB per formula unit
1.0
4.398 0.000 0.000
-2.199 3.808 0.000
0.000 0.000 9.078
Cs Bi Se
1 1 2
Direct
0.000 0.000 0.000
0.333 0.667 0.553
0.000 0.000 0.384
0.667 0.333 0.739

***

Ni2Se2I, optimized geometry, DFT PBE-GGA; symmetry = I4/mmm; energy = -4.13 eV per atom; size of the total moment = 0.00 μB per formula unit; D(E_F) = 0.664 states/eV per atom
1.0
-1.775 1.775 7.831
1.775 -1.775 7.831
1.775 1.775 -7.831
Ni Se I
2 2 1
Direct
0.167 0.167 0.000
0.833 0.833 0.000
0.318 0.318 0.000
0.682 0.682 0.000
0.000 0.000 0.000